Record 1
Compound: Ac2Nd6Y
Source: the Alexandria database
Functional: PBE-GGA
Structure: relaxed

Cell lengths 3.7514, 3.7514, 27.6201 Å; angles 90.00, 90.00, 120.00 degrees
With the nearest neighbours (Å) after each atom.
Sites, in units of the cell vectors:
Ac: 0.6667 0.3333 0.3276  6 Nd 3.74-3.87, 6 Ac 3.75
Ac: 0.6667 0.3333 0.6724  6 Nd 3.74-3.87, 6 Ac 3.75
Nd: 0.6667 0.3333 0.8952  3 Y 3.61, 9 Nd 3.66-3.75
Nd: 0.3333 0.6667 0.4382  7 Nd 3.41-3.75, 3 Ac 3.74
Nd: 0.3333 0.6667 0.7886  9 Nd 3.66-3.75, 3 Ac 3.87
Nd: 0.3333 0.6667 0.2114  9 Nd 3.66-3.75, 3 Ac 3.87
Nd: 0.3333 0.6667 0.5618  7 Nd 3.41-3.75, 3 Ac 3.74
Nd: 0.6667 0.3333 0.1048  3 Y 3.61, 9 Nd 3.66-3.75
Y: 0.3333 0.6667 0.0000  6 Nd 3.61, 6 Y 3.75

Output
SG: P-6m2, No. 187
Magnetic moment (μB per formula unit): 0.00
Calculated formation energy (eV per atom): 0.077
Energy relative to the lowest polymorph listed for this composition (meV/atom): 0.0

Record 2
Compound: NaSc2Ni2
Source: the Alexandria database
Functional: PBE-GGA
Structure: relaxed

Cell lengths 7.7872, 7.7872, 2.9801 Å; angles 90.00, 90.00, 90.00 degrees
With the nearest neighbours (Å) after each atom.
Sites, in units of the cell vectors:
Sc: 0.3562 0.8562 0.0000  6 Ni 2.68-2.79, 2 Sc 2.98, 2 Na 2.99
Sc: 0.8562 0.6438 0.0000  6 Ni 2.68-2.79, 2 Sc 2.98, 2 Na 2.99
Sc: 0.6438 0.1438 0.0000  6 Ni 2.68-2.79, 2 Sc 2.98, 2 Na 2.99
Sc: 0.1438 0.3562 0.0000  6 Ni 2.68-2.79, 2 Sc 2.98, 2 Na 2.99
Ni: 0.1415 0.6415 0.5000  6 Sc 2.68-2.79, 2 Ni 2.98
Ni: 0.6415 0.8585 0.5000  6 Sc 2.68-2.79, 2 Ni 2.98
Ni: 0.8585 0.3585 0.5000  6 Sc 2.68-2.79, 2 Ni 2.98
Ni: 0.3585 0.1415 0.5000  6 Sc 2.68-2.79, 2 Ni 2.98
Na: 0.0000 0.0000 0.0000  2 Na 2.98, 4 Sc 2.99
Na: 0.5000 0.5000 0.0000  2 Na 2.98, 4 Sc 2.99

Output
SG: P4/mbm, No. 127
Magnetic moment (μB per formula unit): 0.00
Calculated formation energy (eV per atom): -0.124
Energy relative to the lowest polymorph listed for this composition (meV/atom): 59.2